Computed, not measured: a relaxed structure of BaV2CrS8 at the PBE level of DFT. Values from VASP.

space-group type = R-3
N(E_F) = 0.558 states/eV per atom
formation energy (no corrections) = -776 meV per atom
electronic total energy = -0.44167 Ry/atom
ρ = 3.378 g/cm3

Structure (Quantum ESPRESSO input):
```
&SYSTEM
  ibrav = 0, nat = 12, ntyp = 4
/
ATOMIC_SPECIES
Ba 137.33 Ba.upf
V 50.94 V.upf
Cr 52.00 Cr.upf
S 32.06 S.upf
CELL_PARAMETERS angstrom
3.044 1.758 8.388
-3.044 1.758 8.388
0.000 -3.515 8.388
ATOMIC_POSITIONS angstrom
Ba 0.000 0.000 0.000
V 0.000 0.000 6.164
V 0.000 0.000 18.999
Cr 0.000 0.000 12.581
S -1.929 0.020 11.197
S -0.982 -1.661 13.965
S 0.000 0.000 8.280
S 0.947 -1.680 11.197
S -0.947 1.680 13.965
S 0.000 0.000 16.883
S 0.982 1.661 11.197
S 1.929 -0.020 13.965
```

Computed, not measured: a relaxed structure of BaCrW2S8 at the PBE level of DFT. Values from VASP.

space-group type = R-3
N(E_F) = 0.349 states/eV per atom
formation energy (no corrections) = -703 meV per atom
electronic total energy = -0.48329 Ry/atom
ρ = 4.645 g/cm3

Structure (Quantum ESPRESSO input):
```
&SYSTEM
  ibrav = 0, nat = 12, ntyp = 4
/
ATOMIC_SPECIES
Ba 137.33 Ba.upf
Cr 52.00 Cr.upf
W 183.84 W.upf
S 32.06 S.upf
CELL_PARAMETERS angstrom
3.075 1.775 8.880
-3.075 1.775 8.880
0.000 -3.551 8.880
ATOMIC_POSITIONS angstrom
Ba 0.000 0.000 0.000
Cr 0.000 0.000 13.320
W 0.000 0.000 6.583
W 0.000 0.000 20.056
S -0.964 -1.758 11.852
S -2.004 -0.044 14.788
S 0.000 0.000 8.787
S -1.040 1.714 11.852
S 1.040 -1.714 14.788
S 0.000 0.000 17.852
S 2.004 0.044 11.852
S 0.964 1.758 14.788
```

Computed, not measured: a relaxed structure of Ba2YCrS at the PBE level of DFT. Values from VASP.

space-group type = P4/mmm
N(E_F) = 2.944 states/eV per atom
formation energy (no corrections) = 277 meV per atom
electronic total energy = -0.33329 Ry/atom
ρ = 3.919 g/cm3

Structure (Quantum ESPRESSO input):
```
&SYSTEM
  ibrav = 0, nat = 5, ntyp = 4
/
ATOMIC_SPECIES
Ba 137.33 Ba.upf
Y 88.91 Y.upf
Cr 52.00 Cr.upf
S 32.06 S.upf
CELL_PARAMETERS angstrom
6.034 0.000 0.000
0.000 6.034 0.000
0.000 0.000 5.209
ATOMIC_POSITIONS angstrom
Ba 0.000 3.017 0.000
Ba 3.017 0.000 0.000
Y 0.000 0.000 2.605
Cr 3.017 3.017 2.605
S 0.000 0.000 0.000
```

Computed, not measured: a relaxed structure of Ba2ZrCrS6 at the PBE level of DFT. Values from VASP.

space-group type = P2_1/c
N(E_F) = 1.079 states/eV per atom
formation energy (no corrections) = -1418 meV per atom
electronic total energy = -0.44806 Ry/atom
ρ = 4.330 g/cm3

Structure (Quantum ESPRESSO input):
```
&SYSTEM
  ibrav = 0, nat = 20, ntyp = 4
/
ATOMIC_SPECIES
Ba 137.33 Ba.upf
Zr 91.22 Zr.upf
Cr 52.00 Cr.upf
S 32.06 S.upf
CELL_PARAMETERS angstrom
6.960 0.000 0.000
0.000 6.883 0.000
-6.940 0.000 9.770
ATOMIC_POSITIONS angstrom
Ba -0.009 0.095 2.433
Ba -3.479 3.347 7.317
Ba 3.500 3.537 2.452
Ba 0.030 6.788 7.337
Zr 3.480 0.000 0.000
Zr 0.010 3.442 4.885
Cr -3.470 0.000 4.885
Cr 0.000 3.442 0.000
S -5.355 1.679 9.564
S -1.885 1.762 4.680
S -5.163 5.009 9.564
S -1.693 5.316 4.679
S 0.294 3.449 2.361
S -3.175 6.876 7.246
S 3.196 0.007 2.524
S -0.274 3.434 7.408
S 1.713 1.568 5.091
S 5.183 1.874 0.206
S 1.906 5.121 5.090
S 5.376 5.204 0.205
```

Q: The lowest ρ belongs to which entry?
A: BaV2CrS8